VASP calculation (PBE) on crystalline Cs3PmU2O9 at its relaxed geometry.

D(E_F) (states/eV/f.u.): 0.00
Electronic total energy (eV/atom): -7.7601
Size of the total moment (μB per cell): 0.0

Geometry as CIF:
```
data_Cs3PmU2O9
_cell_length_a 6.300
_cell_length_b 6.300
_cell_length_c 7.712
_cell_angle_alpha 90.00
_cell_angle_beta 90.00
_cell_angle_gamma 120.00
_space_group_name_H-M_alt 'P 1'
_space_group_IT_number 1
_space_group_name_Hall 'P 1'
loop_
_atom_site_label
_atom_site_fract_x
_atom_site_fract_y
_atom_site_fract_z
Cs1 0.333 0.667 0.662
Cs2 0.000 0.000 0.000
Cs3 0.667 0.333 0.338
Pm1 0.000 0.000 0.500
U1 0.333 0.667 0.163
U2 0.667 0.333 0.837
O1 0.821 0.179 0.684
O2 0.821 0.641 0.684
O3 0.359 0.179 0.684
O4 0.641 0.821 0.316
O5 0.179 0.359 0.316
O6 0.179 0.821 0.316
O7 0.500 0.000 0.000
O8 0.000 0.500 0.000
O9 0.500 0.500 0.000
```

***

VASP calculation (PBE) on crystalline Cs4PmU3O12 at its relaxed geometry.

D(E_F) (states/eV/f.u.): 8.60
Electronic total energy (eV/atom): -7.8897
Size of the total moment (μB per cell): 1.0

Geometry as CIF:
```
data_Cs4PmU3O12
_cell_length_a 7.696
_cell_length_b 7.696
_cell_length_c 7.696
_cell_angle_alpha 109.47
_cell_angle_beta 109.47
_cell_angle_gamma 109.47
_space_group_name_H-M_alt 'P 1'
_space_group_IT_number 1
_space_group_name_Hall 'P 1'
loop_
_atom_site_label
_atom_site_fract_x
_atom_site_fract_y
_atom_site_fract_z
Cs1 0.500 0.500 0.500
Cs2 0.000 0.000 0.500
Cs3 0.500 0.000 0.000
Cs4 0.000 0.500 0.000
Pm1 0.000 0.000 0.000
U1 0.500 0.000 0.500
U2 0.500 0.500 0.000
U3 0.000 0.500 0.500
O1 0.250 0.500 0.750
O2 0.728 0.000 0.728
O3 0.272 0.000 0.272
O4 0.750 0.500 0.250
O5 0.728 0.728 0.000
O6 0.272 0.272 0.000
O7 0.750 0.250 0.500
O8 0.250 0.750 0.500
O9 0.500 0.250 0.750
O10 0.000 0.728 0.728
O11 0.500 0.750 0.250
O12 0.000 0.272 0.272
```

***

The records above give, respectively, formation energy from raw total energies values of -2.79, -2.81 eV per atom.